DFT (GGA+U) results for a geometry-optimized Rb2NiO2 structure.

Summary:
Final energy = -3.988 eV per atom

Lattice parameters (Å, degrees): 4.1978 4.1978 7.3126 106.68 106.68 90.00
Each line ends with the local moment (μB).
Fractional positions:
1 Rb 0.6561 0.6561 0.3122  0.00
2 Rb 0.3439 0.3439 0.6878  0.00
3 O 0.1286 0.1286 0.2573  0.20
4 O 0.8714 0.8714 0.7427  0.20
5 Ni 0.0000 0.0000 0.0000  1.57